Density functional theory data (PBE) for an optimized crystal structure of HoTmNp.

Energy of formation from the pure elements = 0.663 eV per formula unit
VASP energy = -42.65 eV per cell
Total magnetization = 1.21 μB/f.u.
Calculated volume = 27.65 Å³ per atom

Unit cell a=8.5422 b=8.5422 c=5.7254 alpha=100.21 beta=100.21 gamma=23.81
Fractional coordinates of all 6 atoms:
Ho (0.1195, 0.1195, 0.3191)
Ho (0.8805, 0.8805, 0.6809)
Tm (0.4333, 0.4333, 0.2078)
Tm (0.5667, 0.5667, 0.7922)
Np (0.2385, 0.2385, 0.8568)
Np (0.7615, 0.7615, 0.1432)